No. 1
Compound: CaNpAs2
Source: Alexandria via LeMat-Bulk
Functional: PBE-GGA
Structure: relaxed

Results
The energy above the most stable polymorph in this dataset comes out at 0 meV/atom. For the total energy, the calculation gives -6.971 eV per atom. The calculation puts the mass density at 6.9 g/cm³. The energy relative to the elements is -3.6 eV per formula unit. The density of states at the Fermi level is 23.42 states/eV per cell.

Cell and atoms, written as CIF:
```
data_CaNpAs2
_cell_length_a 4.1735
_cell_length_b 4.1735
_cell_length_c 20.4723
_cell_angle_alpha 90.00
_cell_angle_beta 90.00
_cell_angle_gamma 120.00
_space_group_name_H-M_alt 'R -3 m'
_space_group_IT_number 166
_space_group_name_Hall '-R 3 2"'
loop_
_atom_site_label
_atom_site_fract_x
_atom_site_fract_y
_atom_site_fract_z
Ca1 0.0000 0.0000 0.0000
Np1 0.0000 0.0000 0.5000
As1 0.0000 0.0000 0.2430
```

No. 2
Compound: CaNpAs
Source: Alexandria via LeMat-Bulk
Functional: PBE-GGA
Structure: relaxed

Results
For the total energy, the calculation gives -6.998 eV per atom. The calculation puts the mass density at 8.2 g/cm³. The energy relative to the elements is -1.4 eV per formula unit. The density of states at the Fermi level is 15.95 states/eV per cell.

Cell and atoms, written as CIF:
```
data_CaNpAs
_cell_length_a 3.4688
_cell_length_b 3.4688
_cell_length_c 23.5572
_cell_angle_alpha 90.00
_cell_angle_beta 90.00
_cell_angle_gamma 90.00
_space_group_name_H-M_alt 'I 4/m m m'
_space_group_IT_number 139
_space_group_name_Hall '-I 4 2'
loop_
_atom_site_label
_atom_site_fract_x
_atom_site_fract_y
_atom_site_fract_z
Ca1 0.0000 0.0000 0.0770
Np1 0.0000 0.0000 0.2294
As1 0.0000 0.0000 0.3479
```

No. 3
Compound: CaNp3As4
Source: Alexandria via LeMat-Bulk
Functional: PBE-GGA
Structure: relaxed

Results
For the total energy, the calculation gives -8.220 eV per atom. The calculation puts the mass density at 8.7 g/cm³. The energy relative to the elements is -6.3 eV per formula unit. The density of states at the Fermi level is 54.68 states/eV per cell.

Cell and atoms, written as CIF:
```
data_CaNp3As4
_cell_length_a 8.2767
_cell_length_b 11.6774
_cell_length_c 4.1304
_cell_angle_alpha 90.00
_cell_angle_beta 90.00
_cell_angle_gamma 90.00
_space_group_name_H-M_alt 'C m m m'
_space_group_IT_number 65
_space_group_name_Hall '-C 2 2'
loop_
_atom_site_label
_atom_site_fract_x
_atom_site_fract_y
_atom_site_fract_z
Ca1 0.0000 0.0000 0.0000
Np1 0.0000 0.5000 0.0000
Np2 0.2500 0.2500 0.5000
As1 0.0000 0.2535 0.0000
As2 0.2401 0.5000 0.5000
```

No. 4
Compound: CaNpAsO6
Source: Alexandria via LeMat-Bulk
Functional: PBE-GGA
Structure: relaxed

Results
The calculation puts the formation energy from raw total energies at -2.25 eV per atom. For the total energy, the calculation gives -7.734 eV per atom. The calculation puts the mass density at 5.7 g/cm³.

Cell and atoms, written as CIF:
```
data_CaNpAsO6
_cell_length_a 5.5377
_cell_length_b 5.5377
_cell_length_c 9.8352
_cell_angle_alpha 90.00
_cell_angle_beta 90.00
_cell_angle_gamma 120.00
_space_group_name_H-M_alt 'P -3 1 c'
_space_group_IT_number 163
_space_group_name_Hall '-P 3 2c'
loop_
_atom_site_label
_atom_site_fract_x
_atom_site_fract_y
_atom_site_fract_z
Ca1 0.0000 0.0000 0.0000
Np1 0.3333 0.6667 0.2500
As1 0.3333 0.6667 0.7500
O1 0.0067 0.3646 0.1414
```

No. 5
Compound: CaNpAs2O8
Source: Alexandria via LeMat-Bulk
Functional: PBE-GGA
Structure: relaxed

Results
The calculation puts the formation energy from raw total energies at -1.96 eV per atom. For the total energy, the calculation gives -7.284 eV per atom. The calculation puts the mass density at 4.8 g/cm³. The density of states at the Fermi level is 9.50 states/eV per cell.

Cell and atoms, written as CIF:
```
data_CaNpAs2O8
_cell_length_a 5.6432
_cell_length_b 5.6432
_cell_length_c 6.9828
_cell_angle_alpha 90.00
_cell_angle_beta 90.00
_cell_angle_gamma 120.00
_space_group_name_H-M_alt 'P -3 m 1'
_space_group_IT_number 164
_space_group_name_Hall '-P 3 2"'
loop_
_atom_site_label
_atom_site_fract_x
_atom_site_fract_y
_atom_site_fract_z
Ca1 0.0000 0.0000 0.0000
Np1 0.0000 0.0000 0.5000
As1 0.3333 0.6667 0.8032
O1 0.1670 0.3341 0.7143
O2 0.3333 0.6667 0.0424
```

No. 6
Compound: Ca2NpPaAs4
Source: Alexandria via LeMat-Bulk
Functional: PBE-GGA
Structure: relaxed

Results
For the total energy, the calculation gives -6.683 eV per atom. The calculation puts the mass density at 6.8 g/cm³. The energy relative to the elements is -8.4 eV per formula unit. The density of states at the Fermi level is 8.20 states/eV per cell.

Cell and atoms, written as CIF:
```
data_Ca2NpPaAs4
_cell_length_a 7.2377
_cell_length_b 4.1903
_cell_length_c 7.2632
_cell_angle_alpha 90.00
_cell_angle_beta 109.56
_cell_angle_gamma 90.00
_space_group_name_H-M_alt 'P 1 2/m 1'
_space_group_IT_number 10
_space_group_name_Hall '-P 2y'
loop_
_atom_site_label
_atom_site_fract_x
_atom_site_fract_y
_atom_site_fract_z
Ca1 0.0000 0.0000 0.0000
Ca2 0.5000 0.5000 0.0000
Np1 0.0000 0.5000 0.5000
Pa1 0.5000 0.0000 0.5000
As1 0.2479 0.0000 0.7317
As2 0.2606 0.5000 0.2675
```

No. 7
Compound: Ca3Np2PaAs6
Source: Alexandria via LeMat-Bulk
Functional: PBE-GGA
Structure: relaxed

Results
For the total energy, the calculation gives -6.782 eV per atom. The calculation puts the mass density at 6.8 g/cm³. The energy relative to the elements is -12.1 eV per formula unit. The density of states at the Fermi level is 36.62 states/eV per cell.

Cell and atoms, written as CIF:
```
data_Ca3Np2PaAs6
_cell_length_a 7.2468
_cell_length_b 12.5508
_cell_length_c 7.2445
_cell_angle_alpha 90.00
_cell_angle_beta 109.47
_cell_angle_gamma 90.00
_space_group_name_H-M_alt 'C 1 2/m 1'
_space_group_IT_number 12
_space_group_name_Hall '-C 2y'
loop_
_atom_site_label
_atom_site_fract_x
_atom_site_fract_y
_atom_site_fract_z
Ca1 0.0000 0.0000 0.0000
Ca2 0.0000 0.3329 0.0000
Np1 0.0000 0.1667 0.5000
Pa1 0.0000 0.5000 0.5000
As1 0.2422 0.3348 0.7313
As2 0.2468 0.0000 0.7309
```

No. 8
Compound: Ca2PmNpAs4
Source: Alexandria via LeMat-Bulk
Functional: PBE-GGA
Structure: relaxed

Results
For the total energy, the calculation gives -6.120 eV per atom. The calculation puts the mass density at 6.0 g/cm³. The energy relative to the elements is -8.7 eV per formula unit. The density of states at the Fermi level is 6.99 states/eV per cell.

Cell and atoms, written as CIF:
```
data_Ca2PmNpAs4
_cell_length_a 7.2620
_cell_length_b 4.2249
_cell_length_c 7.2777
_cell_angle_alpha 90.00
_cell_angle_beta 109.44
_cell_angle_gamma 90.00
_space_group_name_H-M_alt 'P 1 2/m 1'
_space_group_IT_number 10
_space_group_name_Hall '-P 2y'
loop_
_atom_site_label
_atom_site_fract_x
_atom_site_fract_y
_atom_site_fract_z
Ca1 0.0000 0.0000 0.0000
Ca2 0.0000 0.5000 0.5000
Pm1 0.5000 0.0000 0.5000
Np1 0.5000 0.5000 0.0000
As1 0.2649 0.5000 0.2395
As2 0.2701 0.0000 0.7677
```

| no. | magnetization (μB/f.u.) |
| --- | --- |
| 1 | 3.00 |
| 2 | 0.04 |
| 3 | 10.96 |
| 4 | 0.00 |
| 5 | 3.00 |
| 6 | 3.99 |
| 7 | 7.02 |
| 8 | 2.04 |